1.
Ac2La5NdDy | PBE | optimized geometry

The structure belongs to space group Cmcm (No. 63); the cell edges are 5.6965, 22.7603 and 10.6562 Å and the angles 90.00°, 90.00° and 90.00°. The distinct sites, in fractional coordinates, are Ac at (0.0000, 0.1146, 0.0129), La at (0.0000, 0.0043, 0.7500), La at (0.0000, 0.2775, 0.0604), La at (0.0000, 0.3778, 0.7500), La at (0.0000, 0.5000, 0.0000), Nd at (0.0000, 0.2154, 0.7500) and Dy at (0.0000, 0.3973, 0.2500).

The formation energy comes out at 0.1003 eV per atom. As for the calculated volume: 38.378 Å³ per atom. The density of states at the Fermi level comes out at 54.22 states/eV/cell.

---

2.
Tl2MoC | PBE | optimized geometry

The structure belongs to space group Fm-3m (No. 225); the cell edges are 6.7743, 6.7743 and 6.7743 Å and the angles 90.00°, 90.00° and 90.00°. The distinct sites, in fractional coordinates, are Tl at (0.2500, 0.2500, 0.2500), Mo at (0.0000, 0.0000, 0.0000) and C at (0.0000, 0.0000, 0.5000).

The formation energy comes out at 2.0218 eV per atom. As for the calculated volume: 19.430 Å³ per atom. As for the energy above the most stable polymorph in this dataset: 19.74 kcal/mol of atoms. The density of states at the Fermi level comes out at 14.95 states/eV/cell.

---

3.
Er4SiOs | PBE | optimized geometry

The structure belongs to space group P2_1/m (No. 11); the cell edges are 5.7888, 6.3801 and 8.3243 Å and the angles 90.00°, 109.07° and 90.00°. The distinct sites, in fractional coordinates, are Er at (0.1708, 0.2500, 0.0909), Er at (0.2635, 0.5013, 0.7552), Er at (0.3007, 0.7500, 0.3778), Si at (0.1714, 0.2500, 0.4437) and Os at (0.3443, 0.7500, 0.0542).

As for the calculated volume: 24.214 Å³ per atom. The formation energy (no corrections) is -0.3944 eV per atom. The density of states at the Fermi level comes out at 6.17 states/eV/cell.

---

4.
NaZr2Br8 | PBE | optimized geometry

The structure belongs to space group P-3 (No. 147); the cell edges are 9.2544, 9.2544 and 5.4414 Å and the angles 90.00°, 90.00° and 120.00°. The distinct sites, in fractional coordinates, are Na at (0.0000, 0.0000, 0.0000), Zr at (0.3333, 0.6667, 0.2401), Br at (0.1733, 0.3485, 0.2540) and Br at (0.3333, 0.6667, 0.7467).

As for the calculated volume: 36.694 Å³ per atom. As for the energy above the most stable polymorph in this dataset: 0.51 kcal/mol of atoms. The formation energy (no corrections) is -1.2437 eV per atom. The density of states at the Fermi level comes out at 4.58 states/eV/cell.